{
  "formula": "PaBe2Ge2Mo",
  "functional": "PBE",
  "state": "relaxed",
  "e_form_ev_per_atom": -0.192,
  "spacegroup": "P-3m1",
  "final_energy_ev_per_cell": -38.17,
  "cell": [[-1.926, -1.107, 3.140], [3.745, 0.846, 0.239], [-1.642, 6.869, 1.415]],
  "species": ["Be", "Be", "Ge", "Ge", "Mo", "Pa"],
  "frac_coords": [[0.333, 0.667, 0.294], [0.667, 0.333, 0.706], [0.333, 0.667, 0.725], [0.667, 0.333, 0.275], [0.000, 0.000, 0.500], [0.000, 0.000, 0.000]]
}

***

{
  "formula": "RbBeGe2Mo",
  "functional": "PBE",
  "state": "relaxed",
  "e_form_ev_per_atom": 0.299,
  "spacegroup": "P4/mmm",
  "final_energy_ev_per_cell": -23.26,
  "cell": [[-3.833, -2.986, 0.853], [1.445, -0.559, 4.534], [-2.726, 3.885, 1.348]],
  "species": ["Ge", "Be", "Mo", "Rb", "Ge"],
  "frac_coords": [[0.000, 0.000, 0.500], [0.000, 0.500, 0.000], [0.000, 0.000, 0.000], [0.500, 0.500, 0.500], [0.500, 0.000, 0.000]]
}

***

{
  "formula": "Be2GeMo2Ru5",
  "functional": "PBE",
  "state": "relaxed",
  "e_form_ev_per_atom": -0.197,
  "spacegroup": "P4/mbm",
  "final_energy_ev_per_cell": -164.15,
  "cell": [[2.983, 0.000, 0.000], [0.000, 9.343, 0.000], [0.000, 0.000, 9.343]],
  "species": ["Mo", "Ru", "Ru", "Be", "Ge", "Be", "Mo", "Ru", "Ru", "Ru", "Ru", "Be", "Ru", "Mo", "Ru", "Mo", "Ge", "Be", "Ru", "Ru"],
  "frac_coords": [[0.000, 0.176, 0.324], [0.500, 0.437, 0.292], [0.500, 0.292, 0.563], [0.000, 0.125, 0.625], [0.000, 0.500, 0.500], [0.000, 0.875, 0.375], [0.000, 0.324, 0.824], [0.500, 0.500, 0.000], [0.500, 0.937, 0.208], [0.500, 0.063, 0.792], [0.500, 0.563, 0.708], [0.000, 0.375, 0.125], [0.500, 0.000, 0.500], [0.000, 0.824, 0.676], [0.500, 0.792, 0.937], [0.000, 0.676, 0.176], [0.000, 0.000, 0.000], [0.000, 0.625, 0.875], [0.500, 0.708, 0.437], [0.500, 0.208, 0.063]]
}